# 1
The following is a PBEsol calculation of a relaxed structure of Li2InCl, from Alexandria via LeMat-Bulk.

a b c (Å): 3.1227 3.1227 7.6116
angles (deg): 90.00 90.00 90.00
Last column: nearest neighbours and their distance in Å.
Positions (direct):
Cl 0.5000 0.5000 0.0000  8 Li 2.67
In 0.5000 0.5000 0.5000  4 In 3.12, 8 Li 3.19
Li 0.0000 0.0000 0.8019  4 Cl 2.67
Li 0.0000 0.0000 0.1981  4 Cl 2.67

Calculated values
Formation energy from raw total energies (eV per atom): -0.857

# 2
The following is a PBEsol calculation of a relaxed structure of IrRuRh, from Alexandria via LeMat-Bulk.

a b c (Å): 4.0924 4.0924 4.0924
angles (deg): 60.00 60.00 60.00
Last column: nearest neighbours and their distance in Å.
Positions (direct):
Ir 0.0000 0.0000 0.0000  4 Ru 2.51
Rh 0.5000 0.5000 0.5000  4 Ru 2.51
Ru 0.2500 0.2500 0.2500  4 Ir 2.51, 4 Rh 2.51

Calculated values
Calculated formation energy (meV per atom): 732.9
Polymorph energy (0 for the lowest one) (eV/atom): 0.7597

# 3
The following is a PBEsol calculation of a relaxed structure of Tl2HgAu, from Alexandria via LeMat-Bulk.

a b c (Å): 3.7756 4.6048 5.8617
angles (deg): 90.00 108.21 90.00
Last column: nearest neighbours and their distance in Å.
Positions (direct):
Tl 0.0283 0.0000 0.9348  3 Au 2.93-3.25, 4 Hg 3.09-3.11
Tl 0.7267 0.5000 0.3245  3 Hg 3.04-3.17, 4 Au 3.07-3.08
Au 0.2951 0.0000 0.4614  2 Hg 2.90, 7 Tl 2.93-3.25
Hg 0.4500 0.5000 0.7794  2 Au 2.90, 7 Tl 3.04-3.17

Calculated values
Calculated formation energy (meV per atom): 10.3
Polymorph energy (0 for the lowest one) (eV/atom): 0.0022

# 4
The following is a PBEsol calculation of a relaxed structure of Zn2RuSe, from Alexandria via LeMat-Bulk.

a b c (Å): 3.0845 4.2341 4.5119
angles (deg): 90.00 90.00 90.00
Last column: nearest neighbours and their distance in Å.
Positions (direct):
Ru 0.5000 0.0000 0.5260  2 Se 2.48, 8 Zn 2.73-2.75
Se 0.5000 0.5000 0.2381  2 Ru 2.48, 2 Zn 2.62
Zn 0.0000 0.0000 0.0272  2 Zn 2.56, 4 Ru 2.73-2.74, 4 Se 2.79
Zn 0.0000 0.5000 0.7087  2 Zn 2.56, 4 Se 2.62-2.84, 4 Ru 2.75

Calculated values
Formation energy from raw total energies (eV per atom): 0.042

# 5
The following is a PBEsol calculation of a relaxed structure of POsRh2, from Alexandria via LeMat-Bulk.

a b c (Å): 2.8241 3.7238 5.2433
angles (deg): 90.00 105.62 90.00
Last column: nearest neighbours and their distance in Å.
Positions (direct):
Os 0.6849 0.0000 0.3697  2 P 2.37, 4 Rh 2.65
P 0.5398 0.5000 0.0796  5 Rh 2.33-2.49, 2 Os 2.37
Rh 0.9543 0.0000 0.9087  4 P 2.49, 3 Os 2.72, 4 Rh 2.76
Rh 0.3093 0.5000 0.6185  1 P 2.33

Calculated values
Calculated formation energy (meV per atom): -186.8

# 6
The following is a PBEsol calculation of a relaxed structure of TeIrPd2, from Alexandria via LeMat-Bulk.

a b c (Å): 3.8035 3.8035 9.8288
angles (deg): 101.16 101.16 90.00
Last column: nearest neighbours and their distance in Å.
Positions (direct):
Ir 0.2500 0.7500 0.5000  4 Te 2.69, 4 Pd 2.71
Ir 0.0000 0.0000 0.0000  4 Te 2.69, 4 Pd 2.71
Te 0.7500 0.2500 0.5000  4 Ir 2.69, 4 Pd 2.73
Te 0.5000 0.5000 0.0000  4 Ir 2.69, 4 Pd 2.73
Pd 0.3681 0.8750 0.2500  4 Pd 2.65-2.73, 2 Ir 2.71, 2 Te 2.73
Pd 0.8819 0.3750 0.2500  4 Pd 2.65-2.73, 2 Ir 2.71, 2 Te 2.73
Pd 0.1250 0.1181 0.7500  4 Pd 2.65-2.73, 2 Ir 2.71, 2 Te 2.73
Pd 0.6250 0.6319 0.7500  4 Pd 2.65-2.73, 2 Ir 2.71, 2 Te 2.73

Calculated values
Formation energy from raw total energies (eV per atom): 0.159